1.
# PBE Tb6Sm2HoSc, relaxed
# DFT total energy	-187.56	eV for the cell shown
# magnetic moment	0.00	μB/f.u.
# DOS(E_F)	52.42	states/eV/cell
# formation energy	1.24	eV per formula unit
data_Tb6Sm2HoSc
_cell_length_a 9.0322
_cell_length_b 14.8781
_cell_length_c 9.5582
_cell_angle_alpha 90.00
_cell_angle_beta 98.40
_cell_angle_gamma 90.00
_symmetry_space_group_name_H-M 'C 1 2/c 1'
_symmetry_Int_Tables_number 15
loop_
_symmetry_equiv_pos_as_xyz
'x,y,z'
'-x,-y,-z'
'-x,y,-z+1/2'
'x,-y,z+1/2'
'x+1/2,y+1/2,z'
'-x+1/2,-y+1/2,-z'
'-x+1/2,y+1/2,-z+1/2'
'x+1/2,-y+1/2,z+1/2'
loop_
_atom_site_label
_atom_site_fract_x
_atom_site_fract_y
_atom_site_fract_z
Tb1 0.0625 0.1883 0.4442
Tb2 0.1013 0.3949 0.6175
Tb3 0.2108 0.2195 0.8087
Sm1 0.2496 0.0505 0.0449
Ho1 0.0000 0.0190 0.7500
Sc1 0.0000 0.4113 0.2500

***

2.
# PBE AlAgPt2, relaxed
# DFT total energy	-79.45	eV for the cell shown
# energy relative to the lowest polymorph listed for this composition	0.357	eV per atom
# magnetic moment	0.00	μB/f.u.
# DOS(E_F)	4.91	states/eV/cell
# formation energy	-1.19	eV per formula unit
data_AlAgPt2
_cell_length_a 7.1065
_cell_length_b 7.1065
_cell_length_c 5.4086
_cell_angle_alpha 90.00
_cell_angle_beta 90.00
_cell_angle_gamma 90.00
_symmetry_space_group_name_H-M 'I -4 2 d'
_symmetry_Int_Tables_number 122
_symmetry_space_group_name_Hall 'I -4 2bw'
loop_
_atom_site_label
_atom_site_fract_x
_atom_site_fract_y
_atom_site_fract_z
Al1 0.0000 0.0000 0.0000
Ag1 0.0000 0.0000 0.5000
Pt1 0.2140 0.7500 0.1250

***

3.
# PBE LiIn4Se, relaxed
# DFT total energy	-64.32	eV for the cell shown
# E_form (uncorrected)	4	kJ per mole of atoms
# magnetic moment	0.00	μB/f.u.
# DOS(E_F)	12.29	states/eV/cell
data_LiIn4Se
_cell_length_a 8.7132
_cell_length_b 8.7132
_cell_length_c 8.7132
_cell_angle_alpha 90.00
_cell_angle_beta 90.00
_cell_angle_gamma 90.00
_symmetry_space_group_name_H-M 'F -4 3 m'
_symmetry_Int_Tables_number 216
_symmetry_space_group_name_Hall 'F -4 2 3'
loop_
_atom_site_label
_atom_site_fract_x
_atom_site_fract_y
_atom_site_fract_z
Li1 0.0000 0.0000 0.0000
In1 0.1254 0.1254 0.3746
Se1 0.2500 0.2500 0.7500

***

4.
# PBE In2ReSb, relaxed
# DFT total energy	-39.56	eV for the cell shown
# E_form (uncorrected)	55	kJ per mole of atoms
# magnetic moment	0.00	μB/f.u.
# DOS(E_F)	7.24	states/eV/cell
data_In2ReSb
_cell_length_a 4.4769
_cell_length_b 4.4862
_cell_length_c 8.8771
_cell_angle_alpha 90.00
_cell_angle_beta 90.00
_cell_angle_gamma 90.00
_symmetry_space_group_name_H-M 'C m m m'
_symmetry_Int_Tables_number 65
_symmetry_space_group_name_Hall '-C 2 2'
loop_
_atom_site_label
_atom_site_fract_x
_atom_site_fract_y
_atom_site_fract_z
In1 0.0000 0.0000 0.1969
Re1 0.0000 0.5000 0.0000
Sb1 0.0000 0.5000 0.5000

***

Question: Which of these has the highest DOS(E_F)?
Answer: Tb6Sm2HoSc

***

Question: What is the DFT total energy in the second record?
Answer: -79.45 eV for the cell shown

***

Question: Look up the DFT total energy of the fourth one.
Answer: -39.56 eV for the cell shown

***

Question: What is the magnetic moment in the third record?
Answer: 0.00 μB/f.u.